Density functional theory data (PBE with a Hubbard U) for Sc2V2O7 after structural relaxation.

Cell and atoms, written as extended XYZ:
```
22
Lattice="6.942 0.000 0.000 3.471 6.012 0.000 3.471 2.004 5.668" Properties=species:S:1:pos:R:3 pbc="T T T"
O 8.677 2.712 1.918
V 6.942 0.000 0.000
Sc 3.471 4.008 2.834
O 5.206 0.707 0.500
Sc 5.206 3.006 0.000
O 5.206 3.006 2.126
O 3.216 4.156 0.500
O 7.197 1.857 3.751
Sc 8.677 7.014 2.834
Sc 6.942 4.008 2.834
V 3.471 0.000 0.000
O 6.687 6.159 1.918
O 10.668 6.160 1.917
O 8.677 5.010 3.543
O 8.677 7.309 5.168
V 8.677 1.002 2.834
O 5.206 5.304 3.751
O 10.668 3.861 5.168
O 3.216 1.857 3.751
V 5.206 5.010 5.668
O 7.197 4.155 0.500
O 6.687 3.861 5.168
```

=====

Density functional theory data (PBE with a Hubbard U) for MnF after structural relaxation.

Cell and atoms, written as extended XYZ:
```
32
Lattice="7.891 0.000 0.000 0.000 9.658 0.000 0.000 0.000 6.702" Properties=species:S:1:pos:R:3 pbc="T T T"
F 1.973 3.730 5.026
F 3.945 3.514 0.000
F 5.918 5.928 5.026
Mn 0.000 0.000 4.868
Mn 1.973 7.244 3.509
F 3.945 1.315 3.351
Mn 5.918 2.415 3.509
Mn 1.973 2.415 0.158
F 0.000 6.144 3.351
Mn 0.000 4.829 1.517
Mn 0.000 4.829 5.185
Mn 1.973 2.415 3.193
Mn 3.945 0.000 5.185
F 5.918 1.099 1.675
F 5.918 3.730 1.675
F 0.000 3.514 3.351
F 1.973 1.099 5.026
Mn 0.000 0.000 1.834
F 5.918 8.559 5.026
Mn 3.945 4.829 4.868
Mn 5.918 7.244 0.158
F 3.945 6.144 0.000
F 0.000 1.315 0.000
F 0.000 8.343 0.000
Mn 5.918 2.415 6.543
Mn 3.945 4.829 1.834
F 1.973 5.928 1.675
F 3.945 8.343 3.351
Mn 1.973 7.244 6.543
F 1.973 8.559 1.675
Mn 3.945 0.000 1.517
Mn 5.918 7.244 3.193
```

Properties
D(E_F) = 4.52 states/eV/cell

=====

Number 1: energy relative to the lowest polymorph listed for this composition 19 meV per atom. Number 2: energy relative to the lowest polymorph listed for this composition 1 meV per atom.